1.
# GGA-PBE SmPuGa, optimized geometry
# Crystal system: monoclinic
# Spin magnetization in μB/cell: 11.98
# Distance to the lowest polymorph of the same formula in eV per formula unit: 0.043
# Energy of formation from the pure elements in eV per atom: -0.192
# SG: Cm, No. 8
data_SmPuGa
_chemical_formula_sum 'Sm2 Pu2 Ga2'
_cell_length_a 3.471
_cell_length_b 6.242
_cell_length_c 7.735
_cell_angle_alpha 77.27
_cell_angle_beta 77.03
_cell_angle_gamma 73.86
_symmetry_space_group_name_H-M 'P 1'
_symmetry_Int_Tables_number 1
loop_
_symmetry_equiv_pos_as_xyz
'x,y,z'
loop_
_atom_site_label
_atom_site_type_symbol
_atom_site_fract_x
_atom_site_fract_y
_atom_site_fract_z
Sm1 Sm 0.005 0.444 0.546
Sm2 Sm 0.578 0.996 0.848
Ga1 Ga 0.296 0.554 0.853
Ga2 Ga 0.051 0.738 0.159
Pu1 Pu 0.319 0.916 0.445
Pu2 Pu 0.773 0.292 0.162



2.
# GGA-PBE Na2AcMnH8, optimized geometry
# Crystal system: trigonal
# Spin magnetization in μB/cell: 2.00
# Final energy in eV/atom: -3.78
# SG: P-3m1, No. 164
data_Na2AcMnH8
_chemical_formula_sum 'Na2 Ac1 Mn1 H8'
_cell_length_a 4.831
_cell_length_b 4.831
_cell_length_c 6.598
_cell_angle_alpha 90.00
_cell_angle_beta 90.00
_cell_angle_gamma 120.00
_symmetry_space_group_name_H-M 'P 1'
_symmetry_Int_Tables_number 1
loop_
_symmetry_equiv_pos_as_xyz
'x,y,z'
loop_
_atom_site_label
_atom_site_type_symbol
_atom_site_fract_x
_atom_site_fract_y
_atom_site_fract_z
Na1 Na 0.667 0.333 0.126
Na2 Na 0.333 0.667 0.874
H1 H 0.847 0.694 0.843
H2 H 0.153 0.847 0.157
H3 H 0.847 0.153 0.843
H4 H 0.333 0.667 0.533
H5 H 0.306 0.153 0.843
H6 H 0.667 0.333 0.467
H7 H 0.153 0.306 0.157
H8 H 0.694 0.847 0.157
Ac1 Ac 0.000 0.000 0.500
Mn1 Mn 0.000 0.000 0.000



3.
# GGA-PBE KTcN2, optimized geometry
# Energy relative to the elements, uncorrected in eV per atom: -0.1668
# Crystal system: tetragonal
# Spin magnetization in μB/cell: 0.00
# Distance to the lowest polymorph of the same formula in eV per formula unit: 0.000
# SG: I-42d, No. 122
data_KTcN2
_chemical_formula_sum 'K2 Tc2 N4'
_cell_length_a 5.733
_cell_length_b 5.733
_cell_length_c 5.986
_cell_angle_alpha 61.39
_cell_angle_beta 61.39
_cell_angle_gamma 90.00
_symmetry_space_group_name_H-M 'P 1'
_symmetry_Int_Tables_number 1
loop_
_symmetry_equiv_pos_as_xyz
'x,y,z'
loop_
_atom_site_label
_atom_site_type_symbol
_atom_site_fract_x
_atom_site_fract_y
_atom_site_fract_z
Tc1 Tc 0.750 0.250 0.500
Tc2 Tc 0.000 0.000 0.000
N1 N 0.375 0.214 0.750
N2 N 0.964 0.625 0.250
N3 N 0.786 0.125 0.250
N4 N 0.875 0.036 0.750
K1 K 0.250 0.750 0.500
K2 K 0.500 0.500 0.000



4.
# GGA-PBE Cd3Ru, optimized geometry
# Crystal system: orthorhombic
# Spin magnetization in μB/cell: 1.06
# Energy of formation from the pure elements in eV per atom: 0.218
# SG: Imm2, No. 44
data_Cd3Ru
_chemical_formula_sum 'Cd3 Ru1'
_cell_length_a 5.208
_cell_length_b 3.000
_cell_length_c 5.698
_cell_angle_alpha 74.74
_cell_angle_beta 62.81
_cell_angle_gamma 90.00
_symmetry_space_group_name_H-M 'P 1'
_symmetry_Int_Tables_number 1
loop_
_symmetry_equiv_pos_as_xyz
'x,y,z'
loop_
_atom_site_label
_atom_site_type_symbol
_atom_site_fract_x
_atom_site_fract_y
_atom_site_fract_z
Cd1 Cd 0.511 0.512 0.976
Cd2 Cd 0.987 0.988 0.024
Cd3 Cd 0.096 0.750 0.500
Ru1 Ru 0.573 0.250 0.500



Q: Which value of spin magnetization does entry 3 give?
A: 0.00 μB/cell



Q: Number 3 is which compound?
A: KTcN2



Q: Which of these has the highest spin magnetization?
A: SmPuGa



Q: Which value of spin magnetization does entry 2 give?
A: 2.00 μB/cell